(1)
DFT (meta-GGA SCAN) results for Rb2Mo2I at its PBEsol-relaxed geometry.

a b c (Å): 6.5177 6.5177 6.5177
angles (deg): 115.33 115.33 98.30
With the nearest neighbours (Å) after each atom.
Fractional coordinates of all 5 atoms:
1 Rb 0.2500 0.7500 0.5000  4 Mo 3.67, 4 I 4.09
2 Rb 0.7500 0.2500 0.5000  4 Mo 3.67, 4 I 4.09
3 Mo 0.1146 0.1146 0.0000  1 Mo 1.95
4 Mo 0.8854 0.8854 0.0000  1 Mo 1.95
5 I 0.5000 0.5000 0.0000  2 Mo 3.29

Results
Symmetry: I4/mmm, No. 139
Total moment, μB/cell: 0.95
Formation energy from raw total energies, meV/atom: 1010

=====

(2)
DFT (meta-GGA SCAN) results for Sc4Tl5 at its PBEsol-relaxed geometry.

a b c (Å): 7.2504 7.2504 7.2504
angles (deg): 95.22 95.22 144.90
With the nearest neighbours (Å) after each atom.
Fractional coordinates of all 9 atoms:
1 Sc 0.0000 0.3228 0.3228  7 Tl 3.13-3.21, 5 Sc 3.28-3.46
2 Sc 0.0000 0.6772 0.6772  7 Tl 3.13-3.21, 5 Sc 3.28-3.46
3 Sc 0.3228 0.0000 0.3228  7 Tl 3.13-3.21, 5 Sc 3.28-3.46
4 Sc 0.6772 0.0000 0.6772  7 Tl 3.13-3.21, 5 Sc 3.28-3.46
5 Tl 0.0000 0.0000 0.0000  4 Sc 3.16, 8 Tl 3.23
6 Tl 0.3285 0.3285 0.6570  6 Tl 3.08-3.35, 6 Sc 3.13-3.21
7 Tl 0.3285 0.6715 0.0000  6 Tl 3.08-3.35, 6 Sc 3.13-3.21
8 Tl 0.6715 0.3285 0.0000  6 Tl 3.08-3.35, 6 Sc 3.13-3.21
9 Tl 0.6715 0.6715 0.3430  6 Tl 3.08-3.35, 6 Sc 3.13-3.21

Results
Formation energy, eV per atom: -0.2698
Symmetry: I4/mmm, No. 139
E above lowest polymorph, meV per atom: 103
Total moment, μB/cell: 0.00

=====

(3)
DFT (meta-GGA SCAN) results for Sc3TeBr at its PBEsol-relaxed geometry.

a b c (Å): 4.9176 4.9176 4.9176
angles (deg): 90.00 90.00 90.00
With the nearest neighbours (Å) after each atom.
Fractional coordinates of all 5 atoms:
1 Sc 0.0000 0.0000 0.5000  2 Br 2.46
2 Sc 0.0000 0.5000 0.0000  2 Br 2.46
3 Sc 0.5000 0.0000 0.0000  2 Br 2.46
4 Te 0.5000 0.5000 0.5000  12 Sc 3.48
5 Br 0.0000 0.0000 0.0000  6 Sc 2.46

Results
Symmetry: Pm-3m, No. 221
Total moment, μB/cell: 0.00
Formation energy from raw total energies, meV/atom: -159